5
Lattice="3.983 0.000 0.000 0.000 3.983 0.000 0.000 0.000 5.049" Properties=species:S:1:pos:R:3 comment="PBE TiTlZnN2, optimized geometry" m_tot_mub_per_fu=0.001 formation_energy_uncorrected_mev_per_atom=1498 pbc="T T T"
Ti 0.000 0.000 0.000
Tl 1.991 1.991 0.000
Zn 1.991 1.991 2.525
N 0.000 1.991 2.525
N 1.991 0.000 2.525



4
Lattice="4.736 0.000 0.000 0.000 4.736 0.000 0.000 0.000 5.100" Properties=species:S:1:pos:R:3 comment="PBE Ce2PmIn, optimized geometry" m_tot_mub_per_fu=1.828 e_form_mev_per_atom=-201 pbc="T T T"
Ce 0.000 2.368 0.000
Ce 2.368 0.000 0.000
Pm 0.000 0.000 2.550
In 2.368 2.368 2.550



4
Lattice="4.017 0.000 0.000 0.000 3.155 0.000 -2.004 0.000 7.133" Properties=species:S:1:pos:R:3 comment="PBE FeHg2Sb, optimized geometry" m_tot_mub_per_fu=2.149 formation_energy_uncorrected_mev_per_atom=270 pbc="T T T"
Fe 0.000 0.000 0.000
Hg 0.005 0.000 2.968
Hg 2.024 1.578 4.847
Sb 2.009 1.578 0.642



4
Lattice="1.485 0.857 8.483 -1.485 0.857 8.483 0.000 -1.715 8.483" Properties=species:S:1:pos:R:3 comment="PBE GaFeGe2, optimized geometry" m_tot_mub_per_fu=0.856 e_form_mev_per_atom=56 pbc="T T T"
Ga 0.000 0.000 0.000
Fe 0.000 0.000 12.724
Ge 0.000 0.000 2.539
Ge 0.000 0.000 22.909



6
Lattice="7.319 0.000 0.000 -3.660 6.339 0.000 0.000 0.000 7.510" Properties=species:S:1:pos:R:3 comment="PBE K5Si, optimized geometry" m_tot_mub_per_fu=0.887 formation_energy_uncorrected_mev_per_atom=555 pbc="T T T"
K -1.830 3.169 0.000
K 0.000 4.226 3.755
K 3.660 0.000 0.000
K 1.830 3.169 0.000
K 3.660 2.113 3.755
Si 0.000 0.000 3.755



4
Lattice="2.014 1.163 9.057 -2.014 1.163 9.057 0.000 -2.326 9.057" Properties=species:S:1:pos:R:3 comment="PBE Ac2TcRh, optimized geometry" m_tot_mub_per_fu=2.268 e_form_mev_per_atom=684 pbc="T T T"
Ac 0.000 0.000 2.712
Ac 0.000 0.000 24.458
Tc 0.000 0.000 0.000
Rh 0.000 0.000 13.585



Number 1: Fermi-level density of states 5.1 states/eV/cell. Number 2: Fermi-level density of states 11.0 states/eV/cell. Number 3: Fermi-level density of states 3.4 states/eV/cell. Number 4: Fermi-level density of states 1.9 states/eV/cell. Number 5: Fermi-level density of states 5.1 states/eV/cell. Number 6: Fermi-level density of states 4.1 states/eV/cell.